Entry from Alexandria: crystalline Y2AuSe at its relaxed geometry (PBE).

Results
M_tot in Bohr magnetons per cell: 0.00
Calculated volume in Å³/f.u.: 97
Uncorrected formation energy in meV/atom: -994

Cell and atoms, written as CIF:
```
data_Y2AuSe
_cell_length_a 4.337
_cell_length_b 5.620
_cell_length_c 7.932
_cell_angle_alpha 90.00
_cell_angle_beta 90.00
_cell_angle_gamma 90.00
_symmetry_space_group_name_H-M 'I m m m'
_symmetry_Int_Tables_number 71
_symmetry_space_group_name_Hall '-I 2 2'
loop_
_atom_site_label
_atom_site_type_symbol
_atom_site_fract_x
_atom_site_fract_y
_atom_site_fract_z
_atom_site_occupancy
Y1 Y 0.000 0.000 0.240 1
Au1 Au 0.000 0.500 0.000 1
Se1 Se 0.000 0.500 0.500 1
```

=====

Entry from Alexandria: crystalline Y2AuSe at its relaxed geometry (PBE).

Results
M_tot in Bohr magnetons per cell: 0.00
Calculated volume in Å³/f.u.: 93
Uncorrected formation energy in meV/atom: -1055

Cell and atoms, written as CIF:
```
data_Y2AuSe
_cell_length_a 7.157
_cell_length_b 7.345
_cell_length_c 3.535
_cell_angle_alpha 90.00
_cell_angle_beta 90.17
_cell_angle_gamma 90.00
_symmetry_space_group_name_H-M 'C 1 2/m 1'
_symmetry_Int_Tables_number 12
loop_
_symmetry_equiv_pos_as_xyz
'x,y,z'
'-x,-y,-z'
'-x,y,-z'
'x,-y,z'
'x+1/2,y+1/2,z'
'-x+1/2,-y+1/2,-z'
'-x+1/2,y+1/2,-z'
'x+1/2,-y+1/2,z'
loop_
_atom_site_label
_atom_site_type_symbol
_atom_site_fract_x
_atom_site_fract_y
_atom_site_fract_z
_atom_site_occupancy
Y1 Y 0.250 0.250 0.000 1
Au1 Au 0.000 0.000 0.500 1
Se1 Se 0.000 0.500 0.500 1
```

=====

Entry from Alexandria: crystalline YAu2Se at its relaxed geometry (PBE).

Results
M_tot in Bohr magnetons per cell: 0.00
Calculated volume in Å³/f.u.: 108
Uncorrected formation energy in meV/atom: -766

Cell and atoms, written as CIF:
```
data_YAu2Se
_cell_length_a 7.941
_cell_length_b 4.209
_cell_length_c 6.481
_cell_angle_alpha 90.00
_cell_angle_beta 90.46
_cell_angle_gamma 90.00
_symmetry_space_group_name_H-M 'C 1 m 1'
_symmetry_Int_Tables_number 8
loop_
_symmetry_equiv_pos_as_xyz
'x,y,z'
'x,-y,z'
'x+1/2,y+1/2,z'
'x+1/2,-y+1/2,z'
loop_
_atom_site_label
_atom_site_type_symbol
_atom_site_fract_x
_atom_site_fract_y
_atom_site_fract_z
_atom_site_occupancy
Y1 Y 0.000 0.000 0.000 1
Au1 Au 0.135 0.500 0.606 1
Au2 Au 0.319 0.000 0.756 1
Se1 Se 0.178 0.500 0.211 1
```

=====

Entry from Alexandria: crystalline YAuSe3 at its relaxed geometry (PBE).

Results
M_tot in Bohr magnetons per cell: 0.00
E above lowest polymorph in eV/atom: 0.0000
Calculated volume in Å³/f.u.: 129
Uncorrected formation energy in meV/atom: -301

Cell and atoms, written as CIF:
```
data_YAuSe3
_cell_length_a 5.056
_cell_length_b 5.056
_cell_length_c 5.056
_cell_angle_alpha 90.00
_cell_angle_beta 90.00
_cell_angle_gamma 90.00
_symmetry_space_group_name_H-M 'P m -3 m'
_symmetry_Int_Tables_number 221
_symmetry_space_group_name_Hall '-P 4 2 3'
loop_
_atom_site_label
_atom_site_type_symbol
_atom_site_fract_x
_atom_site_fract_y
_atom_site_fract_z
_atom_site_occupancy
Y1 Y 0.000 0.000 0.000 1
Au1 Au 0.500 0.500 0.500 1
Se1 Se 0.000 0.500 0.500 1
```

=====

Entry from Alexandria: crystalline YAu2Se at its relaxed geometry (PBE).

Results
M_tot in Bohr magnetons per cell: 0.00
Calculated volume in Å³/f.u.: 86
Uncorrected formation energy in meV/atom: -665

Cell and atoms, written as CIF:
```
data_YAu2Se
_cell_length_a 6.997
_cell_length_b 6.997
_cell_length_c 6.997
_cell_angle_alpha 90.00
_cell_angle_beta 90.00
_cell_angle_gamma 90.00
_symmetry_space_group_name_H-M 'F -4 3 m'
_symmetry_Int_Tables_number 216
_symmetry_space_group_name_Hall 'F -4 2 3'
loop_
_atom_site_label
_atom_site_type_symbol
_atom_site_fract_x
_atom_site_fract_y
_atom_site_fract_z
_atom_site_occupancy
Y1 Y 0.000 0.000 0.000 1
Au1 Au 0.000 0.000 0.500 1
Au2 Au 0.250 0.250 0.750 1
Se1 Se 0.250 0.250 0.250 1
```

=====

Entry from Alexandria: crystalline Y2AuSe at its relaxed geometry (PBE).

Results
M_tot in Bohr magnetons per cell: 0.00
Calculated volume in Å³/f.u.: 109
Uncorrected formation energy in meV/atom: -967

Cell and atoms, written as CIF:
```
data_Y2AuSe
_cell_length_a 7.568
_cell_length_b 7.568
_cell_length_c 7.626
_cell_angle_alpha 90.00
_cell_angle_beta 90.00
_cell_angle_gamma 90.00
_symmetry_space_group_name_H-M 'I -4 2 d'
_symmetry_Int_Tables_number 122
_symmetry_space_group_name_Hall 'I -4 2bw'
loop_
_atom_site_label
_atom_site_type_symbol
_atom_site_fract_x
_atom_site_fract_y
_atom_site_fract_z
_atom_site_occupancy
Y1 Y 0.248 0.250 0.125 1
Au1 Au 0.000 0.000 0.500 1
Se1 Se 0.000 0.000 0.000 1
```

=====

Entry from Alexandria: crystalline Y2AuSe at its relaxed geometry (PBE).

Results
M_tot in Bohr magnetons per cell: 2.88
Calculated volume in Å³/f.u.: 116
Uncorrected formation energy in meV/atom: -700

Cell and atoms, written as CIF:
```
data_Y2AuSe
_cell_length_a 3.9690
_cell_length_b 3.9690
_cell_length_c 25.5943
_cell_angle_alpha 90.00
_cell_angle_beta 90.00
_cell_angle_gamma 120.00
_symmetry_space_group_name_H-M 'R 3 m'
_symmetry_Int_Tables_number 160
_symmetry_space_group_name_Hall 'R 3 -2"'
loop_
_atom_site_label
_atom_site_type_symbol
_atom_site_fract_x
_atom_site_fract_y
_atom_site_fract_z
_atom_site_occupancy
Y1 Y 0.0000 0.0000 0.0000 1
Y2 Y 0.0000 0.0000 0.2143 1
Au1 Au 0.0000 0.0000 0.7368 1
Se1 Se 0.0000 0.0000 0.4851 1
```

=====

Entry from Alexandria: crystalline Y2AuSe at its relaxed geometry (PBE).

Results
M_tot in Bohr magnetons per cell: 0.00
Calculated volume in Å³/f.u.: 102
Uncorrected formation energy in meV/atom: -1279

Cell and atoms, written as CIF:
```
data_Y2AuSe
_cell_length_a 4.0070
_cell_length_b 4.0070
_cell_length_c 21.9172
_cell_angle_alpha 90.00
_cell_angle_beta 90.00
_cell_angle_gamma 120.00
_symmetry_space_group_name_H-M 'R -3 m'
_symmetry_Int_Tables_number 166
_symmetry_space_group_name_Hall '-R 3 2"'
loop_
_atom_site_label
_atom_site_type_symbol
_atom_site_fract_x
_atom_site_fract_y
_atom_site_fract_z
_atom_site_occupancy
Y1 Y 0.0000 0.0000 0.2492 1
Au1 Au 0.0000 0.0000 0.0000 1
Se1 Se 0.0000 0.0000 0.5000 1
```

=====

Entry from Alexandria: crystalline YAuSe at its relaxed geometry (PBE).

Results
M_tot in Bohr magnetons per cell: 0.00
E above lowest polymorph in eV/atom: 0.1058
Calculated volume in Å³/f.u.: 81
Uncorrected formation energy in meV/atom: -1078

Cell and atoms, written as CIF:
```
data_YAuSe
_cell_length_a 6.858
_cell_length_b 6.858
_cell_length_c 6.858
_cell_angle_alpha 90.00
_cell_angle_beta 90.00
_cell_angle_gamma 90.00
_symmetry_space_group_name_H-M 'F -4 3 m'
_symmetry_Int_Tables_number 216
_symmetry_space_group_name_Hall 'F -4 2 3'
loop_
_atom_site_label
_atom_site_type_symbol
_atom_site_fract_x
_atom_site_fract_y
_atom_site_fract_z
_atom_site_occupancy
Y1 Y 0.000 0.000 0.000 1
Au1 Au 0.250 0.250 0.750 1
Se1 Se 0.250 0.250 0.250 1
```

=====

Entry from Alexandria: crystalline Y2AuSe at its relaxed geometry (PBE).

Results
M_tot in Bohr magnetons per cell: 0.00
Calculated volume in Å³/f.u.: 98
Uncorrected formation energy in meV/atom: -1335

Cell and atoms, written as CIF:
```
data_Y2AuSe
_cell_length_a 4.003
_cell_length_b 22.994
_cell_length_c 4.256
_cell_angle_alpha 90.00
_cell_angle_beta 90.00
_cell_angle_gamma 90.00
_symmetry_space_group_name_H-M 'C m c m'
_symmetry_Int_Tables_number 63
_symmetry_space_group_name_Hall '-C 2c 2'
loop_
_atom_site_label
_atom_site_type_symbol
_atom_site_fract_x
_atom_site_fract_y
_atom_site_fract_z
_atom_site_occupancy
Y1 Y 0.000 0.067 0.250 1
Y2 Y 0.000 0.319 0.250 1
Au1 Au 0.000 0.454 0.250 1
Se1 Se 0.000 0.193 0.250 1
```

=====

Entry from Alexandria: crystalline Y4AuSe at its relaxed geometry (PBE).

Results
M_tot in Bohr magnetons per cell: 0.00
Calculated volume in Å³/f.u.: 169
Uncorrected formation energy in meV/atom: 221

Cell and atoms, written as CIF:
```
data_Y4AuSe
_cell_length_a 8.782
_cell_length_b 8.782
_cell_length_c 8.782
_cell_angle_alpha 90.00
_cell_angle_beta 90.00
_cell_angle_gamma 90.00
_symmetry_space_group_name_H-M 'F -4 3 m'
_symmetry_Int_Tables_number 216
_symmetry_space_group_name_Hall 'F -4 2 3'
loop_
_atom_site_label
_atom_site_type_symbol
_atom_site_fract_x
_atom_site_fract_y
_atom_site_fract_z
_atom_site_occupancy
Y1 Y 0.125 0.125 0.125 1
Au1 Au 0.250 0.250 0.750 1
Se1 Se 0.000 0.000 0.500 1
```

=====

Entry from Alexandria: crystalline Y6AuSe4 at its relaxed geometry (PBE).

Results
M_tot in Bohr magnetons per cell: 0.00
Calculated volume in Å³/f.u.: 280
Uncorrected formation energy in meV/atom: -1467

Cell and atoms, written as CIF:
```
data_Y6AuSe4
_cell_length_a 4.040
_cell_length_b 13.347
_cell_length_c 20.786
_cell_angle_alpha 90.00
_cell_angle_beta 90.00
_cell_angle_gamma 90.00
_symmetry_space_group_name_H-M 'C m c m'
_symmetry_Int_Tables_number 63
_symmetry_space_group_name_Hall '-C 2c 2'
loop_
_atom_site_label
_atom_site_type_symbol
_atom_site_fract_x
_atom_site_fract_y
_atom_site_fract_z
_atom_site_occupancy
Y1 Y 0.000 0.000 0.000 1
Y2 Y 0.000 0.174 0.250 1
Y3 Y 0.000 0.272 0.591 1
Y4 Y 0.000 0.445 0.166 1
Au1 Au 0.000 0.163 0.750 1
Se1 Se 0.000 0.086 0.125 1
Se2 Se 0.000 0.359 0.039 1
```

=====

Entry from Alexandria: crystalline Y2AuSe at its relaxed geometry (PBE).

Results
M_tot in Bohr magnetons per cell: 0.00
Calculated volume in Å³/f.u.: 103
Uncorrected formation energy in meV/atom: -1126

Cell and atoms, written as CIF:
```
data_Y2AuSe
_cell_length_a 3.689
_cell_length_b 3.832
_cell_length_c 14.591
_cell_angle_alpha 90.00
_cell_angle_beta 90.00
_cell_angle_gamma 90.00
_symmetry_space_group_name_H-M 'I m m 2'
_symmetry_Int_Tables_number 44
loop_
_symmetry_equiv_pos_as_xyz
'x,y,z'
'-x,-y,z'
'-x,y,z'
'x,-y,z'
'x+1/2,y+1/2,z+1/2'
'-x+1/2,-y+1/2,z+1/2'
'-x+1/2,y+1/2,z+1/2'
'x+1/2,-y+1/2,z+1/2'
loop_
_atom_site_label
_atom_site_type_symbol
_atom_site_fract_x
_atom_site_fract_y
_atom_site_fract_z
_atom_site_occupancy
Y1 Y 0.000 0.000 0.000 1
Y2 Y 0.000 0.500 0.252 1
Au1 Au 0.000 0.500 0.838 1
Se1 Se 0.000 0.000 0.588 1
```

=====

Entry from Alexandria: crystalline YAu2Se at its relaxed geometry (PBE).

Results
M_tot in Bohr magnetons per cell: 0.00
Calculated volume in Å³/f.u.: 92
Uncorrected formation energy in meV/atom: -750

Cell and atoms, written as CIF:
```
data_YAu2Se
_cell_length_a 5.566
_cell_length_b 11.818
_cell_length_c 3.937
_cell_angle_alpha 90.00
_cell_angle_beta 134.76
_cell_angle_gamma 90.00
_symmetry_space_group_name_H-M 'C 1 2/m 1'
_symmetry_Int_Tables_number 12
loop_
_symmetry_equiv_pos_as_xyz
'x,y,z'
'-x,-y,-z'
'-x,y,-z'
'x,-y,z'
'x+1/2,y+1/2,z'
'-x+1/2,-y+1/2,-z'
'-x+1/2,y+1/2,-z'
'x+1/2,-y+1/2,z'
loop_
_atom_site_label
_atom_site_type_symbol
_atom_site_fract_x
_atom_site_fract_y
_atom_site_fract_z
_atom_site_occupancy
Y1 Y 0.000 0.000 0.000 1
Au1 Au 0.250 0.250 0.000 1
Se1 Se 0.000 0.500 0.000 1
```